(1)
Compound: MgZrTl
Source: the Alexandria database
Functional: meta-GGA SCAN
Structure: PBEsol geometry

The structure belongs to space group Amm2 (No. 38); the cell edges are 4.5480, 4.1384 and 13.7873 Å and the angles 90.00°, 90.00° and 90.00°. Symmetry generates all atoms from Mg at (0.0000, 0.0000, 0.0000), Mg at (0.0000, 0.0000, 0.3288), Zr at (0.5000, 0.0000, 0.1600), Zr at (0.5000, 0.0000, 0.8350), Tl at (0.0000, 0.0000, 0.6771) and Tl at (0.5000, 0.0000, 0.4922).

The value obtained for the density of states at the Fermi level is 4.6 states/eV/cell. For the formation energy, the calculation gives -0.244 eV per atom. The total energy is -36.254 eV per atom.



(2)
Compound: MgZrTl
Source: the Alexandria database
Functional: meta-GGA SCAN
Structure: PBEsol geometry

The structure belongs to space group P3m1 (No. 156); the cell edges are 4.7619, 4.7619 and 3.2864 Å and the angles 90.00°, 90.00° and 120.00°. Symmetry generates all atoms from Mg at (0.0000, 0.0000, 0.0000), Zr at (0.6667, 0.3333, 0.5004) and Tl at (0.3333, 0.6667, 0.0016).

The value obtained for the density of states at the Fermi level is 1.1 states/eV/cell. For the formation energy, the calculation gives -0.169 eV per atom. The total energy is -36.179 eV per atom.



(3)
Compound: MgZr2Tl
Source: the Alexandria database
Functional: meta-GGA SCAN
Structure: PBEsol geometry

The structure belongs to space group Pmmm (No. 47); the cell edges are 3.2222, 4.3397 and 6.1332 Å and the angles 90.00°, 90.00° and 90.00°. Symmetry generates all atoms from Mg at (0.0000, 0.0000, 0.0000), Zr at (0.5000, 0.5000, 0.2485) and Tl at (0.0000, 0.0000, 0.5000).

The value obtained for the density of states at the Fermi level is 2.8 states/eV/cell. For the formation energy, the calculation gives -0.167 eV per atom. The total energy is -34.849 eV per atom.



(4)
Compound: MgZr2Tl
Source: the Alexandria database
Functional: meta-GGA SCAN
Structure: PBEsol geometry

The structure belongs to space group P4/mmm (No. 123); the cell edges are 4.3676, 4.3676 and 4.4602 Å and the angles 90.00°, 90.00° and 90.00°. Symmetry generates all atoms from Mg at (0.0000, 0.0000, 0.0000), Zr at (0.0000, 0.5000, 0.5000) and Tl at (0.5000, 0.5000, 0.0000).

The value obtained for the density of states at the Fermi level is 3.1 states/eV/cell. For the formation energy, the calculation gives -0.223 eV per atom. The total energy is -34.905 eV per atom.



(5)
Compound: MgZr2Tl
Source: the Alexandria database
Functional: meta-GGA SCAN
Structure: PBEsol geometry

The structure belongs to space group Cmmm (No. 65); the cell edges are 6.0703, 8.9078 and 3.1707 Å and the angles 90.00°, 90.00° and 90.00°. Symmetry generates all atoms from Mg at (0.0000, 0.0000, 0.0000), Zr at (0.2500, 0.2500, 0.5000) and Tl at (0.0000, 0.5000, 0.0000).

The value obtained for the density of states at the Fermi level is 5.6 states/eV/cell. For the formation energy, the calculation gives -0.168 eV per atom. The total energy is -34.850 eV per atom.



(6)
Compound: TmMg
Source: the Alexandria database
Functional: meta-GGA SCAN
Structure: PBEsol geometry

The structure belongs to space group Pm-3m (No. 221); the cell edges are 3.7047, 3.7047 and 3.7047 Å and the angles 90.00°, 90.00° and 90.00°. Symmetry generates all atoms from Tm at (0.0000, 0.0000, 0.0000) and Mg at (0.5000, 0.5000, 0.5000).

The value obtained for the density of states at the Fermi level is 2.6 states/eV/cell. For the formation energy, the calculation gives -0.048 eV per atom. The total energy is -28.451 eV per atom.



(7)
Compound: Tm2Mg
Source: the Alexandria database
Functional: meta-GGA SCAN
Structure: PBEsol geometry

The structure belongs to space group Cmcm (No. 63); the cell edges are 3.5185, 16.9691 and 5.3273 Å and the angles 90.00°, 90.00° and 90.00°. Symmetry generates all atoms from Tm at (0.0000, 0.0982, 0.2500), Tm at (0.0000, 0.2264, 0.7500) and Mg at (0.0000, 0.4369, 0.2500).

The value obtained for the density of states at the Fermi level is 12.4 states/eV/cell. For the formation energy, the calculation gives -0.050 eV per atom. The total energy is -36.263 eV per atom.



(8)
Compound: Tm5Mg24
Source: the Alexandria database
Functional: meta-GGA SCAN
Structure: PBEsol geometry

The structure belongs to space group I-43m (No. 217); the cell edges are 11.1112, 11.1112 and 11.1112 Å and the angles 90.00°, 90.00° and 90.00°. Symmetry generates all atoms from Tm at (0.0000, 0.0000, 0.0000), Tm at (0.1854, 0.1854, 0.1854), Mg at (0.0340, 0.3564, 0.6436) and Mg at (0.0902, 0.0902, 0.7191).

The value obtained for the density of states at the Fermi level is 31.2 states/eV/cell. For the formation energy, the calculation gives -0.039 eV per atom. The total energy is -13.092 eV per atom.



(9)
Compound: Tm3Mg
Source: the Alexandria database
Functional: meta-GGA SCAN
Structure: PBEsol geometry

The structure belongs to space group P4/mmm (No. 123); the cell edges are 3.4385, 3.4385 and 9.1843 Å and the angles 90.00°, 90.00° and 90.00°. Symmetry generates all atoms from Tm at (0.0000, 0.0000, 0.0000), Tm at (0.5000, 0.5000, 0.2562) and Mg at (0.0000, 0.0000, 0.5000).

The value obtained for the density of states at the Fermi level is 4.2 states/eV/cell. For the formation energy, the calculation gives -0.019 eV per atom. The total energy is -40.136 eV per atom.



(10)
Compound: Tm3Mg
Source: the Alexandria database
Functional: meta-GGA SCAN
Structure: PBEsol geometry

The structure belongs to space group P6_3/mmc (No. 194); the cell edges are 6.8103, 6.8103 and 5.3971 Å and the angles 90.00°, 90.00° and 120.00°. Symmetry generates all atoms from Tm at (0.1688, 0.3376, 0.2500) and Mg at (0.3333, 0.6667, 0.7500).

The value obtained for the density of states at the Fermi level is 9.6 states/eV/cell. For the formation energy, the calculation gives 0.004 eV per atom. The total energy is -40.113 eV per atom.



(11)
Compound: TmMgZn2
Source: the Alexandria database
Functional: meta-GGA SCAN
Structure: PBEsol geometry

The structure belongs to space group Fm-3m (No. 225); the cell edges are 6.6622, 6.6622 and 6.6622 Å and the angles 90.00°, 90.00° and 90.00°. Symmetry generates all atoms from Tm at (0.0000, 0.0000, 0.0000), Mg at (0.0000, 0.0000, 0.5000) and Zn at (0.2500, 0.2500, 0.2500).

The value obtained for the density of states at the Fermi level is 4.3 states/eV/cell. For the formation energy, the calculation gives -0.409 eV per atom. The total energy is -21.368 eV per atom.



(12)
Compound: Mg4W
Source: the Alexandria database
Functional: meta-GGA SCAN
Structure: PBEsol geometry

The structure belongs to space group I4/mmm (No. 139); the cell edges are 3.7670, 3.7670 and 14.6081 Å and the angles 90.00°, 90.00° and 90.00°. Symmetry generates all atoms from Mg at (0.0000, 0.0000, 0.0902), Mg at (0.0000, 0.5000, 0.2500) and W at (0.0000, 0.0000, 0.5000).

The value obtained for the density of states at the Fermi level is 4.2 states/eV/cell. For the formation energy, the calculation gives 0.962 eV per atom. The total energy is -16.955 eV per atom.



(13)
Compound: MgW
Source: the Alexandria database
Functional: meta-GGA SCAN
Structure: PBEsol geometry

The structure belongs to space group F-43m (No. 216); the cell edges are 6.4019, 6.4019 and 6.4019 Å and the angles 90.00°, 90.00° and 90.00°. Symmetry generates all atoms from Mg at (0.0000, 0.0000, 0.0000) and W at (0.2500, 0.2500, 0.2500).

The value obtained for the density of states at the Fermi level is 4.8 states/eV/cell. For the formation energy, the calculation gives 3.478 eV per atom. The total energy is -33.853 eV per atom.



(14)
Compound: MgW4
Source: the Alexandria database
Functional: meta-GGA SCAN
Structure: PBEsol geometry

The structure belongs to space group I4/mmm (No. 139); the cell edges are 4.1974, 4.1974 and 11.0238 Å and the angles 90.00°, 90.00° and 90.00°. Symmetry generates all atoms from Mg at (0.0000, 0.0000, 0.0000), W at (0.0000, 0.0000, 0.3823) and W at (0.0000, 0.5000, 0.2500).

The value obtained for the density of states at the Fermi level is 8.1 states/eV/cell. For the formation energy, the calculation gives 0.859 eV per atom. The total energy is -55.886 eV per atom.



(15)
Compound: MgW4
Source: the Alexandria database
Functional: meta-GGA SCAN
Structure: PBEsol geometry

The structure belongs to space group Im-3m (No. 229); the cell edges are 5.6721, 5.6721 and 5.6721 Å and the angles 90.00°, 90.00° and 90.00°. Symmetry generates all atoms from Mg at (0.0000, 0.0000, 0.0000) and W at (0.2500, 0.2500, 0.2500).

The value obtained for the density of states at the Fermi level is 7.7 states/eV/cell. For the formation energy, the calculation gives 2.213 eV per atom. The total energy is -54.532 eV per atom.



(16)
Compound: MgW
Source: the Alexandria database
Functional: meta-GGA SCAN
Structure: PBEsol geometry

The structure belongs to space group P2_1/m (No. 11); the cell edges are 2.7434, 4.4660 and 5.6322 Å and the angles 90.00°, 99.82° and 90.00°. Symmetry generates all atoms from Mg at (0.1212, 0.2500, 0.3715) and W at (0.4049, 0.7500, 0.1047).

The value obtained for the density of states at the Fermi level is 1.7 states/eV/cell. For the formation energy, the calculation gives 0.355 eV per atom. The total energy is -36.976 eV per atom.



(17)
Compound: YMg3W
Source: the Alexandria database
Functional: meta-GGA SCAN
Structure: PBEsol geometry

The structure belongs to space group Pm-3m (No. 221); the cell edges are 5.3858, 5.3858 and 5.3858 Å and the angles 90.00°, 90.00° and 90.00°. Symmetry generates all atoms from Y at (0.0000, 0.0000, 0.0000), Mg at (0.0000, 0.0000, 0.5000) and W at (0.5000, 0.5000, 0.5000).

The value obtained for the density of states at the Fermi level is 4.9 states/eV/cell. For the formation energy, the calculation gives 2.330 eV per atom. The total energy is -20.161 eV per atom.



(18)
Compound: YMgW2
Source: the Alexandria database
Functional: meta-GGA SCAN
Structure: PBEsol geometry

The structure belongs to space group P4/mmm (No. 123); the cell edges are 2.7740, 2.7740 and 9.5706 Å and the angles 90.00°, 90.00° and 90.00°. Symmetry generates all atoms from Y at (0.0000, 0.0000, 0.0000), Mg at (0.0000, 0.0000, 0.5000) and W at (0.5000, 0.5000, 0.2630).

The value obtained for the density of states at the Fermi level is 2.9 states/eV/cell. For the formation energy, the calculation gives 0.647 eV per atom. The total energy is -42.401 eV per atom.



(19)
Compound: YMg4W
Source: the Alexandria database
Functional: meta-GGA SCAN
Structure: PBEsol geometry

The structure belongs to space group F-43m (No. 216); the cell edges are 7.9235, 7.9235 and 7.9235 Å and the angles 90.00°, 90.00° and 90.00°. Symmetry generates all atoms from Y at (0.0000, 0.0000, 0.0000), Mg at (0.1236, 0.1236, 0.6236) and W at (0.2500, 0.2500, 0.2500).

The value obtained for the density of states at the Fermi level is 13.7 states/eV/cell. For the formation energy, the calculation gives 0.458 eV per atom. The total energy is -19.113 eV per atom.



(20)
Compound: YMgW2
Source: the Alexandria database
Functional: meta-GGA SCAN
Structure: PBEsol geometry

The structure belongs to space group Cmmm (No. 65); the cell edges are 5.6364, 9.5661 and 2.7579 Å and the angles 90.00°, 90.00° and 90.00°. Symmetry generates all atoms from Y at (0.0000, 0.0000, 0.0000), Mg at (0.0000, 0.5000, 0.0000) and W at (0.2500, 0.2500, 0.5000).

The value obtained for the density of states at the Fermi level is 5.6 states/eV/cell. For the formation energy, the calculation gives 0.692 eV per atom. The total energy is -42.356 eV per atom.